Computed, not measured: an optimized crystal structure of Cs2KAg at the PBE level of DFT.

Lattice parameters (Å, degrees): 5.0820 5.0820 41.0039 90.00 90.00 120.00
With the nearest neighbours (Å) after each atom.
Space group R-3m (No. 166, hexagonal axes)
Inequivalent atoms, fractional coordinates:
Cs 0.0000 0.0000 0.1117 [6 per cell]  3 Ag 3.70
K 0.0000 0.0000 0.0000 [3 per cell]  2 Cs 4.58, 6 K 5.08
Ag 0.0000 0.0000 0.5000 [3 per cell]  6 Cs 3.70

Output
**Calculated formation energy**: 0.07 eV/atom
**Size of the total moment**: 0.0 μB per cell
**Offset from the most stable computed form**: 55 meV per atom



Computed, not measured: an optimized crystal structure of Ac2PrAl2Pd7 at the PBE level of DFT.

Lattice parameters (Å, degrees): 6.0866 6.0156 14.1841 90.00 97.57 90.00
With the nearest neighbours (Å) after each atom.
Space group C2/m (No. 12)
Inequivalent atoms, fractional coordinates:
Ac 0.1004 0.0000 0.3584 [4 per cell]  5 Pd 3.12-3.38, 3 Al 3.41-3.43
Pr 0.0000 0.0000 0.0000 [2 per cell]  12 Pd 3.01-3.04
Al 0.0730 0.5000 0.2419 [4 per cell]  5 Pd 2.48-2.52
Pd 0.0000 0.5000 0.0000 [2 per cell]  4 Pr 3.01-3.04, 8 Pd 3.03
Pd 0.1117 0.5000 0.4211 [4 per cell]  1 Al 2.52, 1 Pd 2.77
Pd 0.2036 0.2498 0.8474 [8 per cell]  2 Al 2.48

Output
**Calculated formation energy**: -0.81 eV/atom
**Size of the total moment**: 0.0 μB per cell



Computed, not measured: an optimized crystal structure of MnMo3S4 at the PBE level of DFT.

Lattice parameters (Å, degrees): 7.5518 5.8771 6.0243 90.00 90.00 90.00
With the nearest neighbours (Å) after each atom.
Space group Pmn2_1 (No. 31)
Inequivalent atoms, fractional coordinates:
Mn 0.0000 0.0084 0.0000 [2 per cell]  4 S 2.23-2.31
Mo 0.0000 0.7411 0.3334 [2 per cell]  4 S 2.33-2.48, 1 Mn 2.55
Mo 0.2214 0.6175 0.9840 [4 per cell]  4 S 2.36-2.59
S 0.0000 0.1630 0.3516 [2 per cell]  1 Mn 2.31, 1 Mo 2.48
S 0.0000 0.7436 0.7353 [2 per cell]  1 Mn 2.23, 3 Mo 2.36-2.42
S 0.1913 0.2465 0.8412 [4 per cell]  1 Mn 2.23, 3 Mo 2.33-2.39

Output
**Size of the total moment**: 4.4 μB per cell
**ΔE_f (raw)**: -293 meV per atom



Computed, not measured: an optimized crystal structure of Zr5Ge2H at the PBE level of DFT.

Lattice parameters (Å, degrees): 6.3760 6.3760 7.5958 90.00 90.00 90.00
With the nearest neighbours (Å) after each atom.
Space group I4mm (No. 107)
Inequivalent atoms, fractional coordinates:
Zr 0.0000 0.0000 0.0000 [2 per cell]  1 H 2.12
Zr 0.2486 0.2486 0.2502 [8 per cell]  1 H 2.28
Ge 0.0000 0.5000 0.0018 [4 per cell]  10 Zr 2.94-3.19
H 0.0000 0.0000 0.7211 [2 per cell]  5 Zr 2.12-2.28

Output
**Size of the total moment**: 0.0 μB per cell
**Calculated total energy**: -116.1 eV per cell



Computed, not measured: an optimized crystal structure of BaLiIn3 at the PBE level of DFT.

Lattice parameters (Å, degrees): 6.2583 10.2871 9.7208 90.00 90.00 90.00
With the nearest neighbours (Å) after each atom.
Space group Imma (No. 74)
Inequivalent atoms, fractional coordinates:
Ba 0.0000 0.2500 0.0496 [4 per cell]  7 In 3.66-3.93, 4 Li 4.08
Li 0.0000 0.0000 0.5000 [4 per cell]  6 In 2.89-2.93
In 0.0000 0.2500 0.6453 [4 per cell]  2 Li 2.93, 4 In 3.07
In 0.2500 0.0129 0.7500 [8 per cell]  2 Li 2.89, 4 In 3.07-3.13

Output
**Calculated formation energy**: -0.28 eV/atom
**Size of the total moment**: 0.0 μB per cell
**Offset from the most stable computed form**: 1 meV per atom



Computed, not measured: an optimized crystal structure of Tm2SiB2Rh5 at the PBE level of DFT.

Lattice parameters (Å, degrees): 9.3068 9.3068 3.2029 90.00 90.00 90.00
With the nearest neighbours (Å) after each atom.
Space group P4/mbm (No. 127)
Inequivalent atoms, fractional coordinates:
Tm 0.1754 0.3246 0.0000 [4 per cell]  3 B 2.65-2.82, 10 Rh 2.81-2.97
Si 0.0000 0.0000 0.0000 [2 per cell]  8 Rh 2.64
B 0.1229 0.6229 0.0000 [4 per cell]  6 Rh 2.26-2.28
Rh 0.0000 0.5000 0.5000 [2 per cell]  4 B 2.28
Rh 0.0693 0.7858 0.5000 [8 per cell]  2 B 2.26

Output
**Size of the total moment**: 0.0 μB per cell
**ΔE_f (raw)**: -885 meV per atom



Computed, not measured: an optimized crystal structure of Zn2AgTe at the PBE level of DFT.

Lattice parameters (Å, degrees): 3.8265 3.8265 5.6061 90.00 90.00 90.00
With the nearest neighbours (Å) after each atom.
Space group P4/mmm (No. 123)
Inequivalent atoms, fractional coordinates:
Zn 0.0000 0.0000 0.2379 [2 per cell]  2 Zn 2.67-2.94
Ag 0.5000 0.5000 0.0000 [1 per cell]  2 Te 2.80, 8 Zn 3.02
Te 0.5000 0.5000 0.5000 [1 per cell]  2 Ag 2.80, 8 Zn 3.08

Output
**Size of the total moment**: 0.0 μB per cell
**Offset from the most stable computed form**: 126 meV per atom
**ΔE_f (raw)**: 124 meV per atom



Computed, not measured: an optimized crystal structure of MgTlCl at the PBE level of DFT.

Lattice parameters (Å, degrees): 7.2401 7.2401 7.2401 90.00 90.00 90.00
With the nearest neighbours (Å) after each atom.
Space group F-43m (No. 216)
Inequivalent atoms, fractional coordinates:
Mg 0.0000 0.0000 0.0000 [4 per cell]  4 Tl 3.14, 4 Cl 3.14
Tl 0.2500 0.2500 0.7500 [4 per cell]  4 Mg 3.14
Cl 0.2500 0.2500 0.2500 [4 per cell]  4 Mg 3.14

Output
**Size of the total moment**: 0.0 μB per cell
**Offset from the most stable computed form**: 461 meV per atom
**ΔE_f (raw)**: -308 meV per atom



Computed, not measured: an optimized crystal structure of SrNd2TmS4 at the PBE level of DFT.

Lattice parameters (Å, degrees): 7.0111 4.0200 7.0687 90.00 108.91 90.00
With the nearest neighbours (Å) after each atom.
Space group P2/m (No. 10)
Inequivalent atoms, fractional coordinates:
Sr 0.0000 0.0000 0.0000 [1 per cell]  6 S 2.88-2.89
Nd 0.0000 0.5000 0.5000 [1 per cell]  6 S 2.96
Nd 0.5000 0.0000 0.5000 [1 per cell]  6 S 2.85
Tm 0.5000 0.5000 0.0000 [1 per cell]  6 S 2.77-2.78
S 0.2621 0.5000 0.2460 [2 per cell]  1 Tm 2.77, 3 Nd 2.85-2.96, 2 Sr 2.89
S 0.2665 0.0000 0.7639 [2 per cell]  2 Tm 2.78, 3 Nd 2.85-2.96, 1 Sr 2.88

Output
**Size of the total moment**: 0.0 μB per cell
**ΔE_f (raw)**: -1990 meV per atom



Computed, not measured: an optimized crystal structure of Rb3FeCu at the PBE level of DFT.

Lattice parameters (Å, degrees): 6.5096 6.5096 6.5096 90.00 90.00 90.00
With the nearest neighbours (Å) after each atom.
Space group Pm-3m (No. 221)
Inequivalent atoms, fractional coordinates:
Rb 0.0000 0.0000 0.5000 [3 per cell]  2 Cu 3.25
Fe 0.5000 0.5000 0.5000 [1 per cell]  12 Rb 4.60
Cu 0.0000 0.0000 0.0000 [1 per cell]  6 Rb 3.25

Output
**Calculated formation energy**: 0.94 eV/atom
**Size of the total moment**: 2.8 μB per cell
**Offset from the most stable computed form**: 0 meV per atom



Computed, not measured: an optimized crystal structure of Li2La2CeGa2 at the PBE level of DFT.

Lattice parameters (Å, degrees): 4.7944 4.7944 25.5402 90.00 90.00 120.00
With the nearest neighbours (Å) after each atom.
Space group R-3m (No. 166, hexagonal axes)
Inequivalent atoms, fractional coordinates:
Li 0.0000 0.0000 0.1107 [6 per cell]  3 Ga 2.78
La 0.0000 0.0000 0.3737 [6 per cell]  3 Ga 3.17, 1 Ce 3.22, 3 Li 3.30, 3 La 3.45
Ce 0.0000 0.0000 0.5000 [3 per cell]  6 Li 3.12, 2 La 3.22, 6 Ga 3.24
Ga 0.0000 0.0000 0.2328 [6 per cell]  3 Li 2.78

Output
**Calculated formation energy**: -0.28 eV/atom
**Size of the total moment**: 2.6 μB per cell



Computed, not measured: an optimized crystal structure of RbNpRhSe3 at the PBE level of DFT.

Lattice parameters (Å, degrees): 9.2874 4.1335 9.8195 90.00 110.00 90.00
With the nearest neighbours (Å) after each atom.
Space group P2_1/m (No. 11)
Inequivalent atoms, fractional coordinates:
Rb 0.2028 0.2500 0.2430 [2 per cell]  7 Se 3.50-3.58
Np 0.3211 0.7500 0.8448 [2 per cell]  6 Se 2.80-2.88
Rh 0.0826 0.2500 0.5906 [2 per cell]  4 Se 2.47-2.55
Se 0.1239 0.2500 0.8608 [2 per cell]  1 Rh 2.55, 2 Np 2.80
Se 0.2014 0.7500 0.5401 [2 per cell]  3 Rh 2.47-2.51
Se 0.4625 0.7500 0.1548 [2 per cell]  3 Np 2.87-2.88

Output
**Size of the total moment**: 6.7 μB per cell
**ΔE_f (raw)**: -947 meV per atom



Computed, not measured: an optimized crystal structure of GaSn2RuCl at the PBE level of DFT.

Lattice parameters (Å, degrees): 5.0926 5.0926 4.8640 90.00 90.00 90.00
With the nearest neighbours (Å) after each atom.
Space group P4/mmm (No. 123)
Inequivalent atoms, fractional coordinates:
Ga 0.0000 0.0000 0.0000 [1 per cell]  2 Ru 2.43
Sn 0.0000 0.5000 0.5000 [2 per cell]  2 Ru 2.55
Ru 0.0000 0.0000 0.5000 [1 per cell]  2 Ga 2.43, 4 Sn 2.55
Cl 0.5000 0.5000 0.0000 [1 per cell]  8 Sn 3.52, 4 Ga 3.60

Output
**Size of the total moment**: 0.0 μB per cell
**ΔE_f (raw)**: -387 meV per atom



Computed, not measured: an optimized crystal structure of La5PmY2Ho at the PBE level of DFT.

Lattice parameters (Å, degrees): 9.5923 9.5923 14.0873 90.00 90.00 90.00
With the nearest neighbours (Å) after each atom.
Space group I4/mcm (No. 140)
Inequivalent atoms, fractional coordinates:
La 0.0000 0.0000 0.0000 [4 per cell]  2 Pm 3.52, 4 Y 3.90
La 0.2021 0.2979 0.1384 [16 per cell]  1 Ho 3.16, 1 Y 3.23, 1 La 3.40
Pm 0.0000 0.0000 0.2500 [4 per cell]  10 La 3.52-3.79
Y 0.1081 0.3919 0.5000 [8 per cell]  1 Y 2.93, 2 La 3.23
Ho 0.0000 0.5000 0.2500 [4 per cell]  4 La 3.16

Output
**Calculated formation energy**: 0.30 eV/atom
**Size of the total moment**: 0.0 μB per cell



Computed, not measured: an optimized crystal structure of CaLaAu2 at the PBE level of DFT.

Lattice parameters (Å, degrees): 7.1794 7.1794 7.1794 90.00 90.00 90.00
With the nearest neighbours (Å) after each atom.
Space group F-43m (No. 216)
Inequivalent atoms, fractional coordinates:
Ca 0.0000 0.0000 0.0000 [4 per cell]  4 La 3.11, 4 Au 3.11
La 0.2500 0.2500 0.2500 [4 per cell]  4 Au 3.11, 4 Ca 3.11
Au 0.0000 0.0000 0.5000 [4 per cell]  4 La 3.11, 4 Au 3.11
Au 0.2500 0.2500 0.7500 [4 per cell]  4 Ca 3.11, 4 Au 3.11

Output
**Calculated formation energy**: -0.53 eV/atom
**Size of the total moment**: 0.0 μB per cell



Computed, not measured: an optimized crystal structure of Cu3H2I4 at the PBE level of DFT.

Lattice parameters (Å, degrees): 5.2698 6.4669 7.6921 101.19 105.69 95.12
With the nearest neighbours (Å) after each atom.
Space group P-1 (No. 2)
Inequivalent atoms, fractional coordinates:
Cu 0.0000 0.0000 0.0000 [1 per cell]  2 H 1.62
Cu 0.0000 0.5000 0.0000 [1 per cell]  4 I 2.57-2.80, 2 H 2.81
Cu 0.5000 0.0000 0.0000 [1 per cell]  2 H 1.61
H 0.2581 0.1382 0.9798 [2 per cell]  2 Cu 1.61-1.62
I 0.2153 0.6413 0.7746 [2 per cell]  2 Cu 2.57-2.66
I 0.2695 0.8531 0.2848 [2 per cell]  2 Cu 2.66-2.80, 1 H 2.98

Output
**Size of the total moment**: 0.0 μB per cell
**Calculated total energy**: -24.7 eV per cell



Computed, not measured: an optimized crystal structure of TbTlHgCl6 at the PBE level of DFT.

Lattice parameters (Å, degrees): 7.0246 7.0246 13.9939 90.00 90.00 120.00
With the nearest neighbours (Å) after each atom.
Space group P-31c (No. 163)
Inequivalent atoms, fractional coordinates:
Tb 0.3333 0.6667 0.2500 [2 per cell]  6 Cl 2.68
Tl 0.0000 0.0000 0.0000 [2 per cell]  6 Cl 3.27
Hg 0.3333 0.6667 0.7500 [2 per cell]  6 Cl 2.72
Cl 0.0054 0.3753 0.1398 [12 per cell]  1 Tb 2.68, 1 Hg 2.72

Output
**Size of the total moment**: 0.0 μB per cell
**ΔE_f (raw)**: -1442 meV per atom



Computed, not measured: an optimized crystal structure of CrTc2Pt at the PBE level of DFT.

Lattice parameters (Å, degrees): 2.7159 2.7159 26.7592 90.00 90.00 120.00
With the nearest neighbours (Å) after each atom.
Space group R3m (No. 160, hexagonal axes)
Inequivalent atoms, fractional coordinates:
Cr 0.0000 0.0000 0.0000 [3 per cell]  3 Pt 2.67, 3 Tc 2.69, 6 Cr 2.72
Tc 0.0000 0.0000 0.4963 [3 per cell]  9 Tc 2.68-2.72, 3 Pt 2.86
Tc 0.0000 0.0000 0.7485 [3 per cell]  9 Tc 2.68-2.72, 3 Cr 2.69
Pt 0.0000 0.0000 0.2524 [3 per cell]  3 Cr 2.67, 6 Pt 2.72, 3 Tc 2.86

Output
**Calculated formation energy**: 0.03 eV/atom
**Size of the total moment**: 0.0 μB per cell
**Offset from the most stable computed form**: 124 meV per atom



Computed, not measured: an optimized crystal structure of Nd2Th8O19 at the PBE level of DFT.

Lattice parameters (Å, degrees): 3.9742 3.9742 28.1478 90.00 90.00 90.00
With the nearest neighbours (Å) after each atom.
Space group P-4m2 (No. 115)
Inequivalent atoms, fractional coordinates:
Nd 0.0000 0.5000 0.0562 [2 per cell]  6 O 2.27-2.54
Th 0.0000 0.5000 0.2505 [2 per cell]  8 O 2.40-2.47
Th 0.0000 0.5000 0.4501 [2 per cell]  8 O 2.43-2.44
Th 0.0000 0.5000 0.6497 [2 per cell]  8 O 2.42-2.45
Th 0.0000 0.5000 0.8494 [2 per cell]  8 O 2.36-2.52
O 0.0000 0.0000 0.0000 [1 per cell]  4 Nd 2.54
O 0.0000 0.0000 0.1053 [2 per cell]  2 Th 2.36, 2 Nd 2.42
O 0.0000 0.0000 0.2028 [2 per cell]  4 Th 2.40-2.47
O 0.0000 0.0000 0.3014 [2 per cell]  4 Th 2.42-2.45
O 0.0000 0.0000 0.4006 [2 per cell]  4 Th 2.43-2.44
O 0.0000 0.0000 0.5000 [1 per cell]  4 Th 2.43
O 0.5000 0.5000 0.0955 [2 per cell]  2 Nd 2.27, 2 Th 2.52
O 0.5000 0.5000 0.1982 [2 per cell]  4 Th 2.40-2.47
O 0.5000 0.5000 0.2994 [2 per cell]  4 Th 2.42-2.45
O 0.5000 0.5000 0.3998 [2 per cell]  4 Th 2.43-2.44
O 0.5000 0.5000 0.5000 [1 per cell]  4 Th 2.43

Output
**Size of the total moment**: 0.0 μB per cell
**ΔE_f (raw)**: -3782 meV per atom



Computed, not measured: an optimized crystal structure of MgTi at the PBE level of DFT.

Lattice parameters (Å, degrees): 8.5052 8.5052 4.7357 90.00 90.00 90.00
With the nearest neighbours (Å) after each atom.
Space group P4/m (No. 83)
Inequivalent atoms, fractional coordinates:
Mg 0.0556 0.6656 0.0000 [4 per cell]  5 Ti 2.89-3.13, 3 Mg 2.96-2.97
Mg 0.1216 0.2233 0.5000 [4 per cell]  4 Ti 2.89-3.18, 4 Mg 2.96-3.06
Ti 0.2569 0.5402 0.5000 [4 per cell]  6 Ti 2.70-2.96, 2 Mg 2.89-2.93
Ti 0.3045 0.3941 0.0000 [4 per cell]  6 Ti 2.67-2.95, 1 Mg 2.89

Output
**Calculated formation energy**: 0.32 eV/atom
**Size of the total moment**: 0.5 μB per cell



Computed, not measured: an optimized crystal structure of TaBiW2 at the PBE level of DFT.

Lattice parameters (Å, degrees): 4.1076 4.1076 19.7907 90.00 90.00 90.00
With the nearest neighbours (Å) after each atom.
Space group I-42d (No. 122)
Inequivalent atoms, fractional coordinates:
Ta 0.0000 0.0000 0.0000 [4 per cell]  4 W 2.80, 4 Bi 2.90
Bi 0.0000 0.0000 0.5000 [4 per cell]  4 Ta 2.90, 4 W 2.95
W 0.1990 0.2500 0.1250 [8 per cell]  2 W 2.63, 2 Ta 2.80

Output
**Calculated formation energy**: 1.20 eV/atom
**Size of the total moment**: 0.0 μB per cell



Computed, not measured: an optimized crystal structure of ScSiBr at the PBE level of DFT.

Lattice parameters (Å, degrees): 3.6994 3.6994 35.4833 90.00 90.00 120.00
With the nearest neighbours (Å) after each atom.
Space group R-3m (No. 166, hexagonal axes)
Inequivalent atoms, fractional coordinates:
Sc 0.0000 0.0000 0.1015 [6 per cell]  3 Br 2.75, 4 Si 2.77-2.86
Si 0.0000 0.0000 0.1820 [6 per cell]  3 Si 2.40
Br 0.0000 0.0000 0.3861 [6 per cell]  3 Sc 2.75

Output
**Size of the total moment**: 0.0 μB per cell
**ΔE_f (raw)**: -1084 meV per atom